(1)
This record from OQMD describes a geometry-optimized Hf2PtAu3 structure. The functional is PBE.

## Properties
Formation energy: -762 meV per atom

a = 3.5377 Å, b = 3.5377 Å, c = 8.7291 Å
α = 90.00°, β = 90.00°, γ = 90.00°
Closest atoms and distances in Å follow each position.
Space group P4mm (No. 99)
Symmetry-distinct sites (fractional):
Hf 0.0000 0.0000 0.0000 [1 per cell]  9 Au 2.87-2.95, 1 Pt 2.91
Hf 0.5000 0.5000 0.4857 [1 per cell]  6 Au 2.83-3.00, 4 Pt 2.83
Pt 0.0000 0.0000 0.3338 [1 per cell]  5 Hf 2.83-2.91, 5 Au 2.86-2.92
Au 0.0000 0.0000 0.6616 [1 per cell]  1 Pt 2.86, 4 Au 2.90, 5 Hf 2.94-2.95
Au 0.5000 0.5000 0.1615 [1 per cell]  5 Hf 2.83-2.87, 1 Au 2.89, 4 Pt 2.92
Au 0.5000 0.5000 0.8299 [1 per cell]  5 Au 2.89-2.90, 5 Hf 2.91-3.00

***

(2)
This record from OQMD describes a geometry-optimized InCoCuOs structure. The functional is PBE.

## Properties
Energy: -93.02 eV per cell

a = 6.1173 Å, b = 6.1173 Å, c = 6.1173 Å
α = 90.00°, β = 90.00°, γ = 90.00°
Closest atoms and distances in Å follow each position.
Space group F-43m (No. 216)
Symmetry-distinct sites (fractional):
In 0.0000 0.0000 0.0000 [4 per cell]  4 Cu 2.65, 4 Co 2.65
Co 0.2500 0.2500 0.2500 [4 per cell]  4 In 2.65, 4 Os 2.65
Cu 0.2500 0.2500 0.7500 [4 per cell]  4 Os 2.65, 4 In 2.65
Os 0.0000 0.0000 0.5000 [4 per cell]  4 Co 2.65, 4 Cu 2.65

***

(3)
This record from OQMD describes a geometry-optimized ThPaBi structure. The functional is PBE.

## Properties
Energy: -75.41 eV per cell

a = 7.4231 Å, b = 7.4231 Å, c = 7.4231 Å
α = 90.00°, β = 90.00°, γ = 90.00°
Closest atoms and distances in Å follow each position.
Space group F-43m (No. 216)
Symmetry-distinct sites (fractional):
Th 0.0000 0.0000 0.0000 [4 per cell]  4 Pa 3.21
Pa 0.2500 0.2500 0.7500 [4 per cell]  4 Th 3.21, 4 Bi 3.21
Bi 0.0000 0.0000 0.5000 [4 per cell]  4 Pa 3.21

***

(4)
This record from OQMD describes a geometry-optimized SbOsNO structure. The functional is PBE.

## Properties
Energy: -51.37 eV per cell

a = 4.3381 Å, b = 4.3381 Å, c = 5.4880 Å
α = 90.00°, β = 90.00°, γ = 90.00°
Closest atoms and distances in Å follow each position.
Space group P4/nmm (No. 129, origin choice 2)
Symmetry-distinct sites (fractional):
Sb 0.2500 0.7500 0.0000 [2 per cell]  4 N 2.44
Os 0.2500 0.2500 0.4511 [2 per cell]  1 N 1.89
N 0.2500 0.2500 0.7956 [2 per cell]  1 Os 1.89
O 0.2500 0.7500 0.5000 [2 per cell]  4 Os 2.19

***

(5)
This record from OQMD describes a geometry-optimized Zr3AlZn2Pd3 structure. The functional is PBE.

## Properties
Energy: -106.32 eV per cell

a = 3.5275 Å, b = 12.5968 Å, c = 7.1817 Å
α = 90.00°, β = 90.00°, γ = 90.00°
Closest atoms and distances in Å follow each position.
Space group Amm2 (No. 38)
Symmetry-distinct sites (fractional):
Zr 0.0000 0.0000 0.0000 [2 per cell]  5 Pd 2.82-2.87, 2 Al 3.06, 4 Zn 3.09
Zr 0.0000 0.2035 0.4075 [4 per cell]  5 Pd 2.82-2.91, 4 Zn 2.96-3.08, 2 Al 3.14
Al 0.5000 0.0000 0.3477 [2 per cell]  4 Pd 2.53-2.67
Zn 0.5000 0.1346 0.7373 [4 per cell]  4 Pd 2.64-2.70
Pd 0.0000 0.0000 0.6005 [2 per cell]  2 Al 2.53, 4 Zn 2.64
Pd 0.5000 0.1635 0.1100 [4 per cell]  1 Al 2.67, 2 Zn 2.70, 6 Zr 2.82-2.83

***

(6)
This record from OQMD describes a geometry-optimized Nb4FeSN2 structure. The functional is PBE.

## Properties
Energy: -74.00 eV per cell

a = 3.1505 Å, b = 3.1505 Å, c = 12.3741 Å
α = 90.00°, β = 90.00°, γ = 120.00°
Closest atoms and distances in Å follow each position.
Space group P-6m2 (No. 187)
Symmetry-distinct sites (fractional):
Nb 0.0000 0.0000 0.1473 [2 per cell]  3 N 2.22
Nb 0.6667 0.3333 0.3478 [2 per cell]  3 N 2.18
Fe 0.0000 0.0000 0.5000 [1 per cell]  6 Nb 2.62
S 0.6667 0.3333 0.0000 [1 per cell]  6 Nb 2.57
N 0.3333 0.6667 0.2503 [2 per cell]  6 Nb 2.18-2.22

***

(7)
This record from OQMD describes a geometry-optimized Ta4Nb2Ge3C3 structure. The functional is PBE.

## Properties
Energy: -460.50 eV per cell

a = 9.7519 Å, b = 5.6222 Å, c = 13.0455 Å
α = 90.00°, β = 104.46°, γ = 90.00°
Closest atoms and distances in Å follow each position.
Space group C2/c (No. 15)
Symmetry-distinct sites (fractional):
Ta 0.1140 0.0863 0.0922 [8 per cell]  3 C 2.20
Ta 0.2207 0.0823 0.4079 [8 per cell]  3 C 2.20
Nb 0.0507 0.4176 0.9064 [8 per cell]  3 C 2.23-2.24
Ge 0.0000 0.0803 0.7500 [4 per cell]  4 Ta 2.74, 2 Nb 2.74
Ge 0.1674 0.4174 0.2506 [8 per cell]  2 Nb 2.72-2.73, 4 Ta 2.73-2.74
C 0.0851 0.2448 0.5000 [8 per cell]  4 Ta 2.20, 2 Nb 2.24
C 0.2500 0.2500 0.0000 [4 per cell]  4 Ta 2.20, 2 Nb 2.23

***

(8)
This record from OQMD describes a geometry-optimized RbReNO structure. The functional is PBE.

## Properties
Energy: -114.95 eV per cell

a = 7.1291 Å, b = 7.0176 Å, c = 7.0008 Å
α = 90.00°, β = 102.41°, γ = 90.00°
Closest atoms and distances in Å follow each position.
Space group Cm (No. 8)
Symmetry-distinct sites (fractional):
Rb 0.0000 0.2463 0.0000 [4 per cell]  4 N 2.77-2.81
Re 0.1976 0.5000 0.5676 [2 per cell]  1 N 1.74, 2 O 1.93
Re 0.3571 0.0000 0.4319 [2 per cell]  1 N 1.75, 2 O 1.95
N 0.2054 0.5000 0.8179 [2 per cell]  1 Re 1.74
N 0.2927 0.0000 0.1760 [2 per cell]  1 Re 1.75
O 0.2947 0.2553 0.5096 [4 per cell]  2 Re 1.93-1.95

***

(9)
This record from OQMD describes a geometry-optimized Hf2Ta4Ni3C3 structure. The functional is PBE.

## Properties
Energy: -470.76 eV per cell

a = 9.3459 Å, b = 5.3872 Å, c = 13.5867 Å
α = 90.00°, β = 103.56°, γ = 90.00°
Closest atoms and distances in Å follow each position.
Space group C2/c (No. 15)
Symmetry-distinct sites (fractional):
Hf 0.0433 0.0814 0.3856 [8 per cell]  3 C 2.33-2.36
Ta 0.1133 0.4117 0.5900 [8 per cell]  3 C 2.14-2.19
Ta 0.2224 0.4182 0.9099 [8 per cell]  3 C 2.14-2.19
Ni 0.0000 0.4351 0.7500 [4 per cell]  4 Ta 2.63-2.64, 4 Ni 2.69-2.73
Ni 0.2357 0.1495 0.7500 [8 per cell]  4 Ta 2.61-2.64, 4 Ni 2.69-2.73
C 0.0823 0.2468 0.0000 [8 per cell]  4 Ta 2.14-2.19, 2 Hf 2.33
C 0.2500 0.2500 0.5000 [4 per cell]  4 Ta 2.15, 2 Hf 2.36

***

(10)
This record from OQMD describes a geometry-optimized CuSn structure. The functional is PBE.

## Properties
Energy: -7.28 eV per cell

a = 3.2257 Å, b = 3.2257 Å, c = 4.2106 Å
α = 90.00°, β = 90.00°, γ = 120.00°
Closest atoms and distances in Å follow each position.
Space group P-6m2 (No. 187)
Symmetry-distinct sites (fractional):
Cu 0.0000 0.0000 0.0000 [1 per cell]  6 Sn 2.81
Sn 0.6667 0.3333 0.5000 [1 per cell]  6 Cu 2.81

***

(11)
This record from OQMD describes a geometry-optimized ErCdB4 structure. The functional is PBE.

## Properties
Energy: -32.21 eV per cell

a = 3.2157 Å, b = 3.2157 Å, c = 7.6233 Å
α = 90.00°, β = 90.00°, γ = 120.00°
Closest atoms and distances in Å follow each position.
Space group P6/mmm (No. 191)
Symmetry-distinct sites (fractional):
Er 0.0000 0.0000 0.0000 [1 per cell]  12 B 2.63
Cd 0.0000 0.0000 0.5000 [1 per cell]  12 B 2.69
B 0.3333 0.6667 0.2439 [4 per cell]  3 B 1.86

***

(12)
This record from OQMD describes a geometry-optimized GdYGa3Si2 structure. The functional is PBE.

## Properties
Energy: -69.91 eV per cell

a = 10.3168 Å, b = 4.0765 Å, c = 6.6276 Å
α = 90.00°, β = 101.31°, γ = 90.00°
Closest atoms and distances in Å follow each position.
Space group Cm (No. 8)
Symmetry-distinct sites (fractional):
Gd 0.0000 0.0000 0.0000 [2 per cell]  5 Si 2.92-3.06, 6 Ga 3.01-3.27
Y 0.2382 0.0000 0.6310 [2 per cell]  5 Si 2.92-3.06, 6 Ga 3.00-3.27
Ga 0.1196 0.5000 0.3159 [2 per cell]  2 Si 2.78-2.79, 2 Y 3.00, 2 Gd 3.01, 2 Ga 3.09-3.10
Ga 0.3151 0.0000 0.1754 [2 per cell]  2 Si 2.63, 2 Ga 2.84
Ga 0.4232 0.5000 0.4562 [2 per cell]  2 Si 2.62, 2 Ga 2.84
Si 0.0258 0.5000 0.6812 [2 per cell]  1 Si 2.34, 2 Ga 2.62
Si 0.2121 0.5000 0.9483 [2 per cell]  1 Si 2.34

***

(13)
This record from OQMD describes a geometry-optimized LuFe2Pb structure. The functional is PBE.

## Properties
Energy: -95.18 eV per cell

a = 6.6372 Å, b = 6.6372 Å, c = 6.6372 Å
α = 90.00°, β = 90.00°, γ = 90.00°
Closest atoms and distances in Å follow each position.
Space group F-43m (No. 216)
Symmetry-distinct sites (fractional):
Lu 0.0000 0.0000 0.0000 [4 per cell]  4 Pb 2.87, 4 Fe 2.87
Fe 0.0000 0.0000 0.5000 [4 per cell]  4 Fe 2.87, 4 Pb 2.87
Fe 0.2500 0.2500 0.2500 [4 per cell]  4 Fe 2.87, 4 Lu 2.87
Pb 0.2500 0.2500 0.7500 [4 per cell]  4 Fe 2.87, 4 Lu 2.87

***

(14)
This record from OQMD describes a geometry-optimized Ga5Ir structure. The functional is PBE.

## Properties
Energy: -99.17 eV per cell

a = 5.3398 Å, b = 6.6888 Å, c = 11.5437 Å
α = 90.00°, β = 90.00°, γ = 90.00°
Closest atoms and distances in Å follow each position.
Space group Pmc2_1 (No. 26)
Symmetry-distinct sites (fractional):
Ga 0.0000 0.0908 0.0000 [2 per cell]  1 Ir 2.63, 4 Ga 2.67-2.81
Ga 0.0000 0.1397 0.6885 [2 per cell]  1 Ir 2.56, 6 Ga 2.57-2.74
Ga 0.0000 0.4055 0.8499 [2 per cell]  1 Ir 2.52, 2 Ga 2.57-2.73
Ga 0.2422 0.1448 0.3047 [4 per cell]  2 Ir 2.54-2.69, 5 Ga 2.59-2.83
Ga 0.2437 0.4276 0.1202 [4 per cell]  4 Ga 2.60-2.85, 2 Ir 2.63-2.71
Ga 0.5000 0.1795 0.7377 [2 per cell]  1 Ir 2.54, 6 Ga 2.62-2.74
Ga 0.5000 0.2085 0.9662 [2 per cell]  5 Ga 2.64-2.81, 1 Ir 2.81
Ga 0.5000 0.2327 0.5126 [2 per cell]  5 Ga 2.62-2.93, 3 Ir 2.72-2.77
Ir 0.0000 0.3015 0.4873 [2 per cell]  9 Ga 2.52-2.72
Ir 0.5000 0.4636 0.3137 [2 per cell]  9 Ga 2.54-2.84

***

(15)
This record from OQMD describes a geometry-optimized SrAsIr structure. The functional is PBE.

## Properties
Energy: -51.50 eV per cell

a = 6.8254 Å, b = 6.8254 Å, c = 6.8254 Å
α = 90.00°, β = 90.00°, γ = 90.00°
Closest atoms and distances in Å follow each position.
Space group F-43m (No. 216)
Symmetry-distinct sites (fractional):
Sr 0.0000 0.0000 0.0000 [4 per cell]  4 As 2.96, 4 Ir 2.96
As 0.2500 0.2500 0.7500 [4 per cell]  4 Sr 2.96
Ir 0.2500 0.2500 0.2500 [4 per cell]  4 Sr 2.96

***

(16)
This record from OQMD describes a geometry-optimized Si2IrPd structure. The functional is PBE.

## Properties
Energy: -54.80 eV per cell

a = 3.6096 Å, b = 5.8576 Å, c = 5.5022 Å
α = 90.00°, β = 90.00°, γ = 90.00°
Closest atoms and distances in Å follow each position.
Space group Pmc2_1 (No. 26)
Symmetry-distinct sites (fractional):
Si 0.0000 0.1593 0.0000 [2 per cell]  4 Ir 2.40-2.59, 2 Pd 2.44-2.52
Si 0.5000 0.3283 0.6437 [2 per cell]  2 Ir 2.42, 4 Pd 2.45-2.61
Ir 0.5000 0.0513 0.3180 [2 per cell]  6 Si 2.40-2.59
Pd 0.0000 0.4433 0.3234 [2 per cell]  6 Si 2.44-2.61

***

(17)
This record from OQMD describes a geometry-optimized CsErNiTe3 structure. The functional is PBE.

## Properties
Energy: -51.81 eV per cell

a = 10.0622 Å, b = 4.3103 Å, c = 10.7303 Å
α = 90.00°, β = 113.71°, γ = 90.00°
Closest atoms and distances in Å follow each position.
Space group P2_1/m (No. 11)
Symmetry-distinct sites (fractional):
Cs 0.2241 0.2500 0.2631 [2 per cell]  7 Te 3.76-3.95
Er 0.3230 0.7500 0.8624 [2 per cell]  6 Te 3.02-3.14
Ni 0.0951 0.2500 0.6233 [2 per cell]  4 Te 2.53
Te 0.1118 0.2500 0.8653 [2 per cell]  1 Ni 2.53
Te 0.1674 0.7500 0.5437 [2 per cell]  3 Ni 2.53
Te 0.4763 0.7500 0.1689 [2 per cell]  3 Er 3.02-3.06

***

(18)
This record from OQMD describes a geometry-optimized MgAsIrO structure. The functional is PBE.

## Properties
Energy: -44.92 eV per cell

a = 4.2166 Å, b = 4.9827 Å, c = 5.9796 Å
α = 90.00°, β = 90.00°, γ = 90.00°
Closest atoms and distances in Å follow each position.
Space group Pmc2_1 (No. 26)
Symmetry-distinct sites (fractional):
Mg 0.0000 0.1681 0.0000 [2 per cell]  2 O 1.92-1.93
As 0.5000 0.3271 0.7624 [2 per cell]  3 Ir 2.45-2.69, 2 Mg 2.66
Ir 0.5000 0.1976 0.3676 [2 per cell]  2 O 2.14
O 0.0000 0.1539 0.3201 [2 per cell]  2 Mg 1.92-1.93, 2 Ir 2.14

***

(19)
This record from OQMD describes a geometry-optimized PrI structure. The functional is PBE.

## Properties
Energy: -30.85 eV per cell

a = 6.4150 Å, b = 6.4150 Å, c = 6.4150 Å
α = 90.00°, β = 90.00°, γ = 90.00°
Closest atoms and distances in Å follow each position.
Space group Fm-3m (No. 225)
Symmetry-distinct sites (fractional):
Pr 0.0000 0.0000 0.0000 [4 per cell]  6 I 3.21
I 0.0000 0.0000 0.5000 [4 per cell]  6 Pr 3.21

***

(20)
This record from OQMD describes a geometry-optimized BeAlGaNi structure. The functional is PBE.

## Properties
Energy: -65.38 eV per cell

a = 5.7777 Å, b = 5.7777 Å, c = 5.7777 Å
α = 90.00°, β = 90.00°, γ = 90.00°
Closest atoms and distances in Å follow each position.
Space group F-43m (No. 216)
Symmetry-distinct sites (fractional):
Be 0.0000 0.0000 0.0000 [4 per cell]  4 Al 2.50, 4 Ga 2.50
Al 0.2500 0.2500 0.2500 [4 per cell]  4 Ni 2.50, 4 Be 2.50
Ga 0.2500 0.2500 0.7500 [4 per cell]  4 Ni 2.50, 4 Be 2.50
Ni 0.0000 0.0000 0.5000 [4 per cell]  4 Al 2.50, 4 Ga 2.50